# Mn2SnO4 (SCAN, PBEsol geometry)
# Magnetization: 9.982 μB per formula unit
# Formation energy without anion corrections: -1.894 eV/atom
# D(E_F): 0.18 states/eV/atom
# E: -15.802 eV/atom
# Volume: 12.44 A^3/atom
data_Mn2SnO4
_chemical_formula_sum 'Mn4 Sn2 O8'
_cell_length_a 6.2841
_cell_length_b 6.2841
_cell_length_c 6.2841
_cell_angle_alpha 121.28
_cell_angle_beta 119.66
_cell_angle_gamma 89.19
_symmetry_space_group_name_H-M 'P 1'
_symmetry_Int_Tables_number 1
loop_
_symmetry_equiv_pos_as_xyz
'x,y,z'
loop_
_atom_site_label
_atom_site_fract_x
_atom_site_fract_y
_atom_site_fract_z
Mn1 0.0000 0.0000 0.5000
Mn2 0.0000 0.5000 0.0000
Mn3 0.3893 0.1393 0.2500
Mn4 0.6107 0.8607 0.7500
Sn1 0.0000 0.5000 0.5000
Sn2 0.5000 0.5000 0.0000
O1 0.2127 0.7316 0.4811
O2 0.2495 0.2684 0.9811
O3 0.2494 0.2693 0.5198
O4 0.2494 0.7296 0.9802
O5 0.7506 0.2704 0.0198
O6 0.7506 0.7307 0.4802
O7 0.7505 0.7316 0.0189
O8 0.7873 0.2684 0.5189

---

# Mn5SnO8 (SCAN, PBEsol geometry)
# Polymorph energy (0 for the lowest one): 0.0000 eV per atom
# Magnetization: 11.023 μB per formula unit
# Formation energy without anion corrections: -1.952 eV/atom
# D(E_F): 0.25 states/eV/atom
# E: -14.598 eV/atom
# Volume: 11.53 A^3/atom
data_Mn5SnO8
_chemical_formula_sum 'Mn10 Sn2 O16'
_cell_length_a 5.8324
_cell_length_b 6.2507
_cell_length_c 10.3531
_cell_angle_alpha 85.60
_cell_angle_beta 74.07
_cell_angle_gamma 62.96
_symmetry_space_group_name_H-M 'P 1'
_symmetry_Int_Tables_number 1
loop_
_symmetry_equiv_pos_as_xyz
'x,y,z'
loop_
_atom_site_label
_atom_site_fract_x
_atom_site_fract_y
_atom_site_fract_z
Mn1 0.0000 0.0000 0.0000
Mn2 0.0005 0.2404 0.7586
Mn3 0.0003 0.4997 0.4998
Mn4 0.9997 0.7416 0.2589
Mn5 0.0190 0.2334 0.2501
Mn6 0.0197 0.7321 0.7502
Mn7 0.3842 0.3015 0.9399
Mn8 0.3837 0.8026 0.4399
Mn9 0.5017 0.2332 0.2501
Mn10 0.5024 0.7318 0.7501
Sn1 0.6223 0.6765 0.0646
Sn2 0.6229 0.1753 0.5648
O1 0.2003 0.8898 0.1358
O2 0.2011 0.3887 0.6355
O3 0.2354 0.6108 0.3759
O4 0.2360 0.1097 0.8759
O5 0.2537 0.1321 0.3686
O6 0.2540 0.3600 0.1402
O7 0.2543 0.6309 0.8686
O8 0.2543 0.8592 0.6404
O9 0.7684 0.1135 0.3526
O10 0.7688 0.3265 0.1387
O11 0.7695 0.6114 0.8525
O12 0.7696 0.8250 0.6388
O13 0.7801 0.3782 0.6320
O14 0.7795 0.8792 0.1323
O15 0.7821 0.1054 0.8744
O16 0.7816 0.6064 0.3745

---

# Mn5SnO12 (SCAN, PBEsol geometry)
# Magnetization: 14.965 μB per formula unit
# Formation energy without anion corrections: -1.923 eV/atom
# D(E_F): 0.00 states/eV/atom
# E: -13.144 eV/atom
# Volume: 11.84 A^3/atom
data_Mn5SnO12
_chemical_formula_sum 'Mn5 Sn1 O12'
_cell_length_a 5.0437
_cell_length_b 5.0437
_cell_length_c 9.6782
_cell_angle_alpha 90.14
_cell_angle_beta 90.14
_cell_angle_gamma 120.07
_symmetry_space_group_name_H-M 'P 1'
_symmetry_Int_Tables_number 1
loop_
_symmetry_equiv_pos_as_xyz
'x,y,z'
loop_
_atom_site_label
_atom_site_fract_x
_atom_site_fract_y
_atom_site_fract_z
Mn1 0.0000 0.0000 0.0000
Mn2 0.1667 0.8333 0.5000
Mn3 0.3332 0.6668 0.0000
Mn4 0.6668 0.3332 0.0000
Mn5 0.8333 0.1667 0.5000
Sn1 0.5000 0.5000 0.5000
O1 0.0008 0.6676 0.0950
O2 0.1415 0.4991 0.3971
O3 0.1432 0.1432 0.6030
O4 0.3324 0.9992 0.9050
O5 0.3346 0.3346 0.0953
O6 0.4991 0.1415 0.3971
O7 0.5009 0.8585 0.6029
O8 0.6654 0.6654 0.9047
O9 0.6676 0.0008 0.0950
O10 0.8568 0.8568 0.3970
O11 0.8585 0.5009 0.6029
O12 0.9992 0.3324 0.9050

---

# SrMn7O12 (SCAN, PBEsol geometry)
# Magnetization: 27.000 μB per formula unit
# Formation energy without anion corrections: -2.315 eV/atom
# D(E_F): 0.15 states/eV/atom
# E: -13.557 eV/atom
# Volume: 9.97 A^3/atom
data_SrMn7O12
_chemical_formula_sum 'Sr1 Mn7 O12'
_cell_length_a 6.3738
_cell_length_b 6.3738
_cell_length_c 6.3738
_cell_angle_alpha 109.47
_cell_angle_beta 109.47
_cell_angle_gamma 109.47
_symmetry_space_group_name_H-M 'P 1'
_symmetry_Int_Tables_number 1
loop_
_symmetry_equiv_pos_as_xyz
'x,y,z'
loop_
_atom_site_label
_atom_site_fract_x
_atom_site_fract_y
_atom_site_fract_z
Sr1 0.0000 0.0000 0.0000
Mn1 0.0000 0.0000 0.5000
Mn2 0.0000 0.5000 0.0000
Mn3 0.0000 0.5000 0.5000
Mn4 0.5000 0.0000 0.0000
Mn5 0.5000 0.0000 0.5000
Mn6 0.5000 0.5000 0.0000
Mn7 0.5000 0.5000 0.5000
O1 0.1308 0.3111 0.8197
O2 0.1803 0.4914 0.3111
O3 0.1803 0.8692 0.6889
O4 0.3111 0.1803 0.4914
O5 0.3111 0.8197 0.1308
O6 0.4914 0.3111 0.1803
O7 0.5086 0.6889 0.8197
O8 0.6889 0.1803 0.8692
O9 0.6889 0.8197 0.5086
O10 0.8197 0.1308 0.3111
O11 0.8197 0.5086 0.6889
O12 0.8692 0.6889 0.1803

---

# SrMnO2 (SCAN, PBEsol geometry)
# Magnetization: 4.873 μB per formula unit
# Formation energy without anion corrections: -2.269 eV/atom
# D(E_F): 0.66 states/eV/atom
# E: -15.517 eV/atom
# Volume: 18.61 A^3/atom
data_SrMnO2
_chemical_formula_sum 'Sr1 Mn1 O2'
_cell_length_a 6.4436
_cell_length_b 6.4436
_cell_length_c 6.4436
_cell_angle_alpha 33.96
_cell_angle_beta 33.96
_cell_angle_gamma 33.96
_symmetry_space_group_name_H-M 'P 1'
_symmetry_Int_Tables_number 1
loop_
_symmetry_equiv_pos_as_xyz
'x,y,z'
loop_
_atom_site_label
_atom_site_fract_x
_atom_site_fract_y
_atom_site_fract_z
Sr1 0.0000 0.0000 0.0000
Mn1 0.5000 0.5000 0.5000
O1 0.4015 0.4015 0.4015
O2 0.5985 0.5985 0.5985

---

# Sr5Mn5O13 (SCAN, PBEsol geometry)
# Magnetization: 19.000 μB per formula unit
# Formation energy without anion corrections: -2.690 eV/atom
# D(E_F): 0.07 states/eV/atom
# E: -15.023 eV/atom
# Volume: 12.14 A^3/atom
data_Sr5Mn5O13
_chemical_formula_sum 'Sr5 Mn5 O13'
_cell_length_a 8.5806
_cell_length_b 8.5806
_cell_length_c 3.7928
_cell_angle_alpha 90.00
_cell_angle_beta 90.00
_cell_angle_gamma 90.00
_symmetry_space_group_name_H-M 'P 1'
_symmetry_Int_Tables_number 1
loop_
_symmetry_equiv_pos_as_xyz
'x,y,z'
loop_
_atom_site_label
_atom_site_fract_x
_atom_site_fract_y
_atom_site_fract_z
Sr1 0.0000 0.0000 0.0000
Sr2 0.2174 0.6119 0.0000
Sr3 0.3881 0.2174 0.0000
Sr4 0.6119 0.7826 0.0000
Sr5 0.7826 0.3881 0.0000
Mn1 0.1001 0.3007 0.5000
Mn2 0.3007 0.8999 0.5000
Mn3 0.5000 0.5000 0.5000
Mn4 0.6993 0.1001 0.5000
Mn5 0.8999 0.6993 0.5000
O1 0.0835 0.3334 0.0000
O2 0.1003 0.7908 0.5000
O3 0.2092 0.1003 0.5000
O4 0.2878 0.4239 0.5000
O5 0.3334 0.9165 0.0000
O6 0.4239 0.7122 0.5000
O7 0.5000 0.5000 0.0000
O8 0.5761 0.2878 0.5000
O9 0.6666 0.0835 0.0000
O10 0.7122 0.5761 0.5000
O11 0.7908 0.8997 0.5000
O12 0.8997 0.2092 0.5000
O13 0.9165 0.6666 0.0000

---

- Which value of D(E_F) does entry 4 give?
  0.15 states/eV/atom